(1)
TbCo8B4 | PBE | optimized geometry

Results
V	253	Å³ per cell
formation energy from the elements	-78	meV per atom

Lattice parameters (Å, degrees): 7.592 7.592 4.387 90.00 90.00 90.00
Space group I4/mmm (No. 139)
Inequivalent atoms, fractional coordinates:
Tb1 0.000 0.000 0.000 [2 per cell]
Co1 0.000 0.229 0.500 [8 per cell]
Co2 0.000 0.346 0.000 [8 per cell]
B1 0.250 0.250 0.250 [8 per cell]

***

(2)
TbCo3B2 | PBE | optimized geometry

Results
V	66	Å³ per cell
formation energy from the elements	-481	meV per atom
excess energy over the best structure of this formula in the dataset	0	meV per atom

Lattice parameters (Å, degrees): 5.0054 5.0054 3.0224 90.00 90.00 120.00
Space group P6/mmm (No. 191)
Inequivalent atoms, fractional coordinates:
Tb1 0.0000 0.0000 0.0000 [1 per cell]
Co1 0.0000 0.5000 0.5000 [3 per cell]
B1 0.3333 0.6667 0.0000 [2 per cell]